The following is a DFT calculation (PBE) of crystalline Pm2BHPd6 at its relaxed geometry.

It has space group P-1 (No. 2), with a = 5.9095 Å, b = 6.0165 Å, c = 6.1086 Å, α = 61.38°, β = 61.27° and γ = 61.75°. The asymmetric unit holds Pm at (0.2490, 0.2519, 0.2575), B at (0.5000, 0.5000, 0.5000), H at (0.0000, 0.0000, 0.0000), Pd at (0.2443, 0.7503, 0.7546), Pd at (0.2446, 0.2410, 0.7647) and Pd at (0.2494, 0.7591, 0.2418).

The value obtained for the total DFT energy (no corrections) is -5.696 eV per atom. The value obtained for the total magnetization is 0.00 Bohr magnetons per cell. For the density of states at the Fermi level, the calculation gives 3.93 states/eV/cell.

The following is a DFT calculation (PBE) of crystalline CdGaN2F at its relaxed geometry.

It has space group P4/mmm (No. 123), with a = 3.9432 Å, b = 3.9432 Å, c = 4.0075 Å, α = 90.00°, β = 90.00° and γ = 90.00°. The asymmetric unit holds Cd at (0.0000, 0.0000, 0.0000), Ga at (0.5000, 0.5000, 0.5000), N at (0.0000, 0.5000, 0.5000) and F at (0.5000, 0.5000, 0.0000).

As for the uncorrected formation energy: 0.24 eV per atom. The energy above the most stable polymorph in this dataset is 0.000 eV per formula unit. The value obtained for the total magnetization is 1.39 Bohr magnetons per cell. For the density of states at the Fermi level, the calculation gives 2.83 states/eV/cell.